Run a
Below is crystalline Co3AgS at its relaxed geometry, with properties calculated at the GGA-PBE level.

Properties
N(E_F): 8.657 states/eV/f.u.
V: 71.1 Å³ per cell

```
Co3AgS
1.0
4.1423 0.0000 0.0000
0.0000 4.1423 0.0000
0.0000 0.0000 4.1423
Co Ag S
3 1 1
direct
0.0000 0.0000 0.5000
0.0000 0.5000 0.0000
0.5000 0.0000 0.0000
0.5000 0.5000 0.5000
0.0000 0.0000 0.0000
```

---

Run b
Below is crystalline Co3AgS at its relaxed geometry, with properties calculated at the GGA-PBE level.

Properties
N(E_F): 12.916 states/eV/f.u.
V: 101.9 Å³ per cell

```
Co3AgS
1.0
4.6701 0.0000 0.0000
0.0000 4.6701 0.0000
0.0000 0.0000 4.6701
Co Ag S
3 1 1
direct
0.0000 0.0000 0.5000
0.0000 0.5000 0.0000
0.5000 0.0000 0.0000
0.0000 0.0000 0.0000
0.5000 0.5000 0.5000
```

---

It comes down to run a, which is 1.510 eV/atom more stable than the next structure.

---

Run a
Below is crystalline CoAgSb2 at its relaxed geometry, with properties calculated at the GGA-PBE level.

Properties
N(E_F): 3.130 states/eV/f.u.
V: 369.2 Å³ per cell

```
CoAgSb2
1.0
4.8232 0.0000 0.0000
0.0000 4.8232 0.0000
0.0000 0.0000 15.8682
Co Ag Sb
4 4 8
direct
0.0000 0.0000 0.0000
0.0000 0.5000 0.2500
0.5000 0.0000 0.7500
0.5000 0.5000 0.5000
0.0000 0.0000 0.5000
0.0000 0.5000 0.7500
0.5000 0.0000 0.2500
0.5000 0.5000 0.0000
0.2028 0.2500 0.1250
0.2500 0.7028 0.3750
0.2500 0.7972 0.8750
0.2972 0.2500 0.6250
0.7028 0.7500 0.6250
0.7500 0.2028 0.8750
0.7500 0.2972 0.3750
0.7972 0.7500 0.1250
```

---

Run b
Below is crystalline CoAgSb2 at its relaxed geometry, with properties calculated at the GGA-PBE level.

Properties
N(E_F): 3.842 states/eV/f.u.
V: 79.5 Å³ per cell

```
CoAgSb2
1.0
4.7959 0.0000 0.0000
0.0000 4.7959 0.0000
0.0000 0.0000 3.4579
Co Ag Sb
1 1 2
direct
0.0000 0.0000 0.0000
0.5000 0.5000 0.0000
0.0000 0.5000 0.5000
0.5000 0.0000 0.5000
```

---

It comes down to run a, which is 0.074 eV/atom more stable than the next structure.

---

Run a
Below is crystalline CoAgSb2 at its relaxed geometry, with properties calculated at the GGA-PBE level.

Properties
N(E_F): 4.070 states/eV/f.u.
V: 160.8 Å³ per cell

```
CoAgSb2
1.0
4.0738 0.0000 0.0000
0.0000 4.0738 0.0000
0.0000 0.0000 9.6879
Co Ag Sb
2 2 4
direct
0.0000 0.0000 0.0000
0.5000 0.5000 0.5000
0.0000 0.5000 0.2500
0.5000 0.0000 0.7500
0.0000 0.0000 0.5000
0.0000 0.5000 0.7500
0.5000 0.0000 0.2500
0.5000 0.5000 0.0000
```

---

Run b
Below is crystalline CoAgSb2 at its relaxed geometry, with properties calculated at the GGA-PBE level.

Properties
N(E_F): 2.513 states/eV/f.u.
V: 159.2 Å³ per cell

```
CoAgSb2
1.0
4.4344 0.0000 0.0000
0.0000 4.4526 0.0000
0.0000 0.0000 8.0638
Co Ag Sb
2 2 4
direct
0.0000 0.0000 0.0000
0.5000 0.5000 0.0000
0.0000 0.0000 0.5000
0.5000 0.5000 0.5000
0.0000 0.5000 0.1999
0.0000 0.5000 0.8001
0.5000 0.0000 0.1999
0.5000 0.0000 0.8001
```

---

It comes down to run b, which is 0.235 eV/atom more stable than the next structure.

---

Run a
Below is crystalline CoAgSb2 at its relaxed geometry, with properties calculated at the GGA-PBE level.

Properties
N(E_F): 2.491 states/eV/f.u.
V: 162.8 Å³ per cell

```
CoAgSb2
1.0
5.8964 0.0000 0.0000
0.0000 3.4656 0.0000
-1.9840 0.0000 7.9666
Co Ag Sb
2 2 4
direct
0.0000 0.0000 0.0000
0.5000 0.5000 0.0000
0.0000 0.5000 0.5000
0.5000 0.0000 0.5000
0.2340 0.5000 0.2059
0.2660 0.0000 0.7941
0.7340 0.0000 0.2059
0.7660 0.5000 0.7941
```

---

Run b
Below is crystalline CoAgSb2 at its relaxed geometry, with properties calculated at the GGA-PBE level.

Properties
N(E_F): 5.068 states/eV/f.u.
V: 334.0 Å³ per cell

```
CoAgSb2
1.0
6.9382 0.0000 0.0000
0.0000 6.9382 0.0000
0.0000 0.0000 6.9382
Co Ag Sb
4 4 8
direct
0.0000 0.0000 0.0000
0.0000 0.5000 0.5000
0.5000 0.0000 0.5000
0.5000 0.5000 0.0000
0.2500 0.2500 0.2500
0.2500 0.7500 0.7500
0.7500 0.2500 0.7500
0.7500 0.7500 0.2500
0.0000 0.0000 0.5000
0.0000 0.5000 0.0000
0.2500 0.2500 0.7500
0.2500 0.7500 0.2500
0.5000 0.0000 0.0000
0.5000 0.5000 0.5000
0.7500 0.2500 0.2500
0.7500 0.7500 0.7500
```

---

It comes down to run a, which is 0.486 eV/atom more stable than the next structure.